No. 1
The following is a PBE calculation of Pu2ThCrN4 after structural relaxation, from Alexandria.

The structure in POSCAR format:
```
Pu2ThCrN4
1.0
1.6824 -5.8100 0.0000
1.6824 5.8100 0.0000
0.0000 0.0000 11.5159
Pu Th Cr N
4 2 2 8
Cartesian
1.6824 4.2706 6.3453 Pu
1.6824 4.2706 10.9284 Pu
1.6824 -4.2706 0.5874 Pu
1.6824 -4.2706 5.1705 Pu
1.6824 1.2479 8.6369 Th
1.6824 -1.2479 2.8790 Th
1.6824 1.7874 2.8790 Cr
1.6824 -1.7874 8.6369 Cr
1.6824 5.2035 8.6369 N
1.6824 3.1334 1.4589 N
1.6824 3.1334 4.2990 N
1.6824 0.0000 0.0000 N
1.6824 0.0000 5.7579 N
1.6824 -3.1334 7.2168 N
1.6824 -3.1334 10.0570 N
1.6824 -5.2035 2.8790 N
```

Values from the calculation:
* energy: -10.99 eV per atom
* theoretical density: 12216 kg/m3
* total magnetization: 7.6 μB/f.u.
* N(E_F): 19.1 states/eV/cell

=====

No. 2
The following is a PBE calculation of K3Dy2PbO6 after structural relaxation, from Alexandria.

The structure in POSCAR format:
```
K3Dy2PbO6
1.0
3.0519 -5.2848 0.0000
3.0519 5.2848 0.0000
-2.0339 0.0000 6.2880
K Dy Pb O
3 2 1 6
Cartesian
0.0000 0.0000 0.0000 K
3.0519 1.7283 0.0000 K
3.0519 -1.7283 0.0000 K
2.0350 3.5210 3.1440 Dy
2.0350 -3.5210 3.1440 Dy
2.0350 0.0000 3.1440 Pb
0.9666 1.8499 1.9335 O
-0.1008 0.0000 4.3530 O
0.9666 -1.8499 1.9335 O
3.1033 1.8499 4.3544 O
4.1707 0.0000 1.9350 O
3.1033 -1.8499 4.3544 O
```

Values from the calculation:
* energy: -6.04 eV per atom
* theoretical density: 6103 kg/m3
* total magnetization: 0.8 μB/f.u.
* N(E_F): 4.2 states/eV/cell

=====

No. 3
The following is a PBE calculation of Th2Tc2Sn2C after structural relaxation, from Alexandria.

The structure in POSCAR format:
```
Th2Tc2Sn2C
1.0
5.9326 -2.1630 0.0000
5.9326 2.1630 0.0000
-4.5778 0.0000 5.9395
Th Tc Sn C
2 2 2 1
Cartesian
-0.7057 0.0000 1.5612 Th
7.9929 0.0000 4.3783 Th
-0.5143 0.0000 5.5025 Tc
7.8016 0.0000 0.4369 Tc
2.5811 0.0000 1.8521 Sn
4.7062 0.0000 4.0874 Sn
5.9326 0.0000 0.0000 C
```

Values from the calculation:
* energy: -7.91 eV per atom
* theoretical density: 9908 kg/m3
* formation enthalpy at 0 K: -34.96 kJ per mole of atoms
* total magnetization: 0.0 μB/f.u.
* N(E_F): 5.5 states/eV/cell

=====

No. 4
The following is a PBE calculation of Zn2IrSe after structural relaxation, from Alexandria.

The structure in POSCAR format:
```
Zn2IrSe
1.0
0.0000 3.1543 3.1543
3.1543 0.0000 3.1543
3.1543 3.1543 0.0000
Zn Ir Se
2 1 1
Cartesian
0.0000 0.0000 0.0000 Zn
1.5771 1.5771 1.5771 Zn
3.1543 3.1543 3.1543 Ir
4.7314 4.7314 4.7314 Se
```

Values from the calculation:
* energy: -3.49 eV per atom
* theoretical density: 10635 kg/m3
* total magnetization: 0.0 μB/f.u.
* N(E_F): 2.3 states/eV/cell

=====

No. 5
The following is a PBE calculation of SrLa2SnO after structural relaxation, from Alexandria.

The structure in POSCAR format:
```
SrLa2SnO
1.0
5.0609 0.0000 0.0000
0.0000 5.0609 0.0000
0.0000 0.0000 5.1641
Sr La Sn O
1 2 1 1
Cartesian
0.0000 0.0000 0.0000 Sr
0.0000 2.5305 2.5820 La
2.5305 0.0000 2.5820 La
2.5305 2.5305 0.0000 Sn
0.0000 0.0000 2.5820 O
```

Values from the calculation:
* energy: -5.57 eV per atom
* theoretical density: 6279 kg/m3
* total magnetization: 0.0 μB/f.u.
* N(E_F): 3.9 states/eV/cell

=====

No. 6
The following is a PBE calculation of TcBiP2S after structural relaxation, from Alexandria.

The structure in POSCAR format:
```
TcBiP2S
1.0
5.2197 0.0000 0.0000
0.0000 5.2197 0.0000
0.0000 0.0000 5.1376
Tc Bi P S
1 1 2 1
Cartesian
0.0000 0.0000 0.0000 Tc
2.6098 2.6098 2.5688 Bi
0.0000 2.6098 2.5688 P
2.6098 0.0000 2.5688 P
2.6098 2.6098 0.0000 S
```

Values from the calculation:
* relative energy among the computed polymorphs: 6.74 eV/f.u.
* energy: -4.14 eV per atom
* theoretical density: 4757 kg/m3
* total magnetization: 3.1 μB/f.u.
* N(E_F): 3.1 states/eV/cell

=====

No. 7
The following is a PBE calculation of PmSmTmZn after structural relaxation, from Alexandria.

The structure in POSCAR format:
```
PmSmTmZn
1.0
0.0000 3.8100 3.8100
3.8100 0.0000 3.8100
3.8100 3.8100 0.0000
Pm Sm Tm Zn
1 1 1 1
Cartesian
0.0000 0.0000 0.0000 Pm
3.8100 3.8100 3.8100 Sm
1.9050 1.9050 1.9050 Tm
5.7149 5.7149 5.7149 Zn
```

Values from the calculation:
* relative energy among the computed polymorphs: 0.69 eV/f.u.
* energy: -3.79 eV per atom
* theoretical density: 7952 kg/m3
* formation enthalpy at 0 K: 1.52 kJ per mole of atoms
* total magnetization: 0.0 μB/f.u.
* N(E_F): 4.7 states/eV/cell

=====

No. 8
The following is a PBE calculation of Y3USe6 after structural relaxation, from Alexandria.

The structure in POSCAR format:
```
Y3USe6
1.0
11.6103 0.0000 0.0000
0.0000 4.0920 0.0000
-3.8409 0.0000 11.2265
Y U Se
6 2 12
Cartesian
0.1591 1.0230 1.8634 Y
0.1696 3.0690 5.6219 Y
0.4460 1.0230 10.3054 Y
7.3234 3.0690 0.9211 Y
7.5999 1.0230 5.6047 Y
7.6104 3.0690 9.3631 Y
4.0994 1.0230 3.4342 U
3.6701 3.0690 7.7924 U
-1.2537 1.0230 4.3044 Se
-2.3809 1.0230 10.5173 Se
1.7962 3.0690 3.1073 Se
0.6898 3.0690 8.4037 Se
2.4371 1.0230 6.0198 Se
4.4579 3.0690 1.1156 Se
3.3116 1.0230 10.1109 Se
5.3324 3.0690 5.2067 Se
7.0797 1.0230 2.8228 Se
5.9733 1.0230 8.1193 Se
10.1503 3.0690 0.7093 Se
9.0232 3.0690 6.9222 Se
```

Values from the calculation:
* relative energy among the computed polymorphs: 0.00 eV/f.u.
* energy: -6.85 eV per atom
* theoretical density: 6093 kg/m3
* total magnetization: 2.9 μB/f.u.
* N(E_F): 10.2 states/eV/cell

=====

No. 9
The following is a PBE calculation of Ba4In3Rh2 after structural relaxation, from Alexandria.

The structure in POSCAR format:
```
Ba4In3Rh2
1.0
9.1963 -2.1318 0.0000
9.1963 2.1318 0.0000
-3.2744 0.0000 7.8062
Ba In Rh
4 3 2
Cartesian
0.0945 0.0000 2.9849 Ba
2.4392 0.0000 6.3875 Ba
12.6790 0.0000 1.4187 Ba
15.0237 0.0000 4.8212 Ba
6.5145 0.0000 1.9527 In
9.1963 0.0000 0.0000 In
8.6037 0.0000 5.8534 In
-1.5449 0.0000 7.3931 Rh
16.6630 0.0000 0.4130 Rh
```

Values from the calculation:
* energy: -3.77 eV per atom
* theoretical density: 5966 kg/m3
* formation enthalpy at 0 K: -35.86 kJ per mole of atoms
* total magnetization: 0.0 μB/f.u.
* N(E_F): 6.2 states/eV/cell

=====

No. 10
The following is a PBE calculation of NaPbAu after structural relaxation, from Alexandria.

The structure in POSCAR format:
```
NaPbAu
1.0
5.0001 0.0000 0.0000
-2.5001 4.3302 0.0000
0.0000 0.0000 3.4002
Na Pb Au
1 1 1
Cartesian
0.0000 0.0000 0.0000 Na
2.5001 1.4434 1.7001 Pb
0.0000 2.8868 1.7001 Au
```

Values from the calculation:
* energy: -3.00 eV per atom
* theoretical density: 9635 kg/m3
* formation enthalpy at 0 K: -22.51 kJ per mole of atoms
* total magnetization: 0.0 μB/f.u.
* N(E_F): 0.6 states/eV/cell

=====

No. 11
The following is a PBE calculation of La2PRu after structural relaxation, from Alexandria.

The structure in POSCAR format:
```
La2PRu
1.0
3.2405 0.0000 0.0000
0.0000 3.2405 0.0000
0.0000 0.0000 8.9465
La P Ru
2 1 1
Cartesian
0.0000 0.0000 0.0000 La
1.6202 1.6202 3.5464 La
0.0000 0.0000 5.7146 P
1.6202 1.6202 6.6891 Ru
```

Values from the calculation:
* energy: -6.44 eV per atom
* theoretical density: 7244 kg/m3
* formation enthalpy at 0 K: -29.58 kJ per mole of atoms
* total magnetization: 0.5 μB/f.u.
* N(E_F): 5.0 states/eV/cell

=====

No. 12
The following is a PBE calculation of CeGaCoRh after structural relaxation, from Alexandria.

The structure in POSCAR format:
```
CeGaCoRh
1.0
0.0000 3.2258 3.2258
3.2258 0.0000 3.2258
3.2258 3.2258 0.0000
Ce Ga Co Rh
1 1 1 1
Cartesian
0.0000 0.0000 0.0000 Ce
3.2258 3.2258 3.2258 Ga
4.8386 4.8386 4.8386 Co
1.6129 1.6129 1.6129 Rh
```

Values from the calculation:
* energy: -6.29 eV per atom
* theoretical density: 9194 kg/m3
* formation enthalpy at 0 K: -42.47 kJ per mole of atoms
* total magnetization: 0.5 μB/f.u.
* N(E_F): 5.1 states/eV/cell

=====

No. 13
The following is a PBE calculation of HgSb2Pb2 after structural relaxation, from Alexandria.

The structure in POSCAR format:
```
HgSb2Pb2
1.0
8.9355 0.0000 0.0000
0.0000 8.9355 0.0000
0.0000 0.0000 4.0608
Hg Sb Pb
2 4 4
Cartesian
0.0000 0.0000 0.0000 Hg
4.4677 4.4677 0.0000 Hg
1.1132 3.3545 2.0304 Sb
3.3545 7.8222 2.0304 Sb
5.5809 1.1132 2.0304 Sb
7.8222 5.5809 2.0304 Sb
1.3980 5.8657 0.0000 Pb
3.0697 1.3980 0.0000 Pb
5.8657 7.5375 0.0000 Pb
7.5375 3.0697 0.0000 Pb
```

Values from the calculation:
* relative energy among the computed polymorphs: 0.15 eV/f.u.
* energy: -3.10 eV per atom
* theoretical density: 8794 kg/m3
* total magnetization: 0.0 μB/f.u.
* N(E_F): 5.3 states/eV/cell